Record 1
The following is a DFT calculation (PBE) of La4TbTh3P8 after structural relaxation.

The space group is R-3m (No. 166, hexagonal axes) and the conventional cell measures 8.3698, 8.3698 and 20.6093 Å, with angles of 90.00, 90.00 and 120.00 degrees. Symmetry generates all atoms from La at (0.0000, 0.0000, 0.0000), La at (0.0000, 0.5000, 0.0000), Tb at (0.0000, 0.0000, 0.5000), Th at (0.0000, 0.5000, 0.5000), P at (0.0000, 0.0000, 0.2467) and P at (0.0014, 0.5007, 0.2462).

As for the calculated total energy: -346.21 eV per cell.

Record 2
The following is a DFT calculation (PBE) of La2TbThP4 after structural relaxation.

The space group is P2/m (No. 10) and the conventional cell measures 7.2121, 4.1778 and 7.2602 Å, with angles of 90.00, 109.38 and 90.00 degrees. Symmetry generates all atoms from La at (0.0000, 0.0000, 0.0000), La at (0.5000, 0.5000, 0.0000), Tb at (0.0000, 0.5000, 0.5000), Th at (0.5000, 0.0000, 0.5000), P at (0.2449, 0.0000, 0.7380) and P at (0.2519, 0.5000, 0.2611).

As for the calculated total energy: -56.34 eV per cell.

Record 3
The following is a DFT calculation (PBE) of LaTb2Th3P6 after structural relaxation.

The space group is C2/m (No. 12) and the conventional cell measures 7.1680, 12.3969 and 7.1249 Å, with angles of 90.00, 109.60 and 90.00 degrees. Symmetry generates all atoms from La at (0.0000, 0.0000, 0.0000), Tb at (0.0000, 0.3330, 0.0000), Th at (0.0000, 0.1652, 0.5000), Th at (0.0000, 0.5000, 0.5000), P at (0.2422, 0.5000, 0.2482) and P at (0.2464, 0.3298, 0.7498).

As for the calculated total energy: -175.73 eV per cell.

Record 4
The following is a DFT calculation (PBE) of La3TbTh2P6 after structural relaxation.

The space group is C2/m (No. 12) and the conventional cell measures 7.2384, 12.5463 and 7.2720 Å, with angles of 90.00, 109.37 and 90.00 degrees. Symmetry generates all atoms from La at (0.0000, 0.0000, 0.0000), La at (0.0000, 0.3334, 0.0000), Tb at (0.0000, 0.5000, 0.5000), Th at (0.0000, 0.1666, 0.5000), P at (0.2453, 0.3341, 0.7385) and P at (0.2479, 0.0000, 0.7391).

As for the calculated total energy: -171.78 eV per cell.

calculated total energy of number 3 (LaTb2Th3P6)? -175.73 eV per cell

Look up the calculated total energy of the third one. -175.73 eV per cell